DFT (GGA-PBE) results for crystalline LiSiCl4 at its relaxed geometry.

Lattice parameters (Å, degrees): 8.420 8.420 8.420 90.00 90.00 90.00
Space group F-43m (No. 216)
Unique sites:
Li1 0.000 0.000 0.000 [4 per cell]
Si1 0.250 0.250 0.750 [4 per cell]
Cl1 0.125 0.125 0.375 [16 per cell]

Summary:
The energy relative to the lowest polymorph listed for this composition is 1.4608 eV/atom. The calculation puts the total energy at -49.29 eV/cell. As for the uncorrected formation energy: 400 meV per atom. The crystal system is cubic. As for the volume: 597.0 Å³/cell. Its calculated density is 1.97 g cm⁻³.